Entry 1:
This record from Alexandria describes a relaxed structure of Ba2Na2As4Pt. The functional is GGA-PBE.

Cell: 6.8727 6.8727 6.8727 Å, 118.73 118.73 92.21°
Last column: nearest neighbours and their distance in Å.
Sites, in units of the cell vectors:
Ba  0.2500  0.7500  0.5000  8 As 3.44, 4 Na 3.55
Ba  0.7500  0.2500  0.5000  8 As 3.44, 4 Na 3.55
Na  0.1912  0.1912  0.0000  1 Pt 2.94, 4 As 3.04
Na  0.8088  0.8088  0.0000  1 Pt 2.94, 4 As 3.04
As  0.2455  0.2455  0.4910  1 Pt 2.52
As  0.2455  0.7545  0.0000  1 Pt 2.52
As  0.7545  0.2455  0.0000  1 Pt 2.52
As  0.7545  0.7545  0.5090  1 Pt 2.52
Pt  0.5000  0.5000  0.0000  4 As 2.52

Values from the calculation:
Energy relative to the elements, kJ/mol of formula units: -530
V, A^3/atom: 25.972

Entry 2:
This record from Alexandria describes a relaxed structure of BaNaAsS4. The functional is GGA-PBE.

Cell: 8.2311 8.2311 8.2311 Å, 123.49 110.60 95.53°
Last column: nearest neighbours and their distance in Å.
Sites, in units of the cell vectors:
Ba  0.0000  0.0000  0.0000  6 S 3.13-3.22
Ba  0.5000  0.0000  0.5000  6 S 3.13-3.22
Na  0.5000  0.0000  0.0000  2 S 2.69
Na  0.5000  0.5000  0.5000  2 S 2.69
As  0.1375  0.3875  0.7500  4 S 2.17-2.25
As  0.8625  0.6125  0.2500  4 S 2.17-2.25
S  0.1612  0.7118  0.4494  1 As 2.17
S  0.2376  0.2882  0.9494  1 As 2.17
S  0.2576  0.2742  0.5166  1 As 2.25
S  0.2576  0.7410  0.9834  1 As 2.25
S  0.7424  0.2590  0.0166  1 As 2.25
S  0.7424  0.7258  0.4834  1 As 2.25
S  0.7624  0.7118  0.0506  1 As 2.17
S  0.8388  0.2882  0.5506  1 As 2.17

Values from the calculation:
E_form (uncorrected), eV per formula unit: -5.05
V, A^3/atom: 28.863

Entry 3:
This record from Alexandria describes a relaxed structure of Ba2NaAs2S6. The functional is GGA-PBE.

Cell: 6.9103 6.9103 8.1807 Å, 112.10 112.10 59.22°
Last column: nearest neighbours and their distance in Å.
Sites, in units of the cell vectors:
Ba  0.1933  0.1933  0.2101  9 S 3.35-3.55, 1 As 3.71
Ba  0.8067  0.8067  0.7899  9 S 3.35-3.55, 1 As 3.71
Na  0.0000  0.0000  0.5000  6 S 2.81-2.97
As  0.4611  0.4611  0.6635  3 S 2.21-2.23
As  0.5389  0.5389  0.3365  3 S 2.21-2.23
S  0.1737  0.7019  0.1908  1 As 2.21
S  0.2736  0.2736  0.6561  1 As 2.23
S  0.2981  0.8263  0.8092  1 As 2.21
S  0.7019  0.1737  0.1908  1 As 2.21
S  0.7264  0.7264  0.3439  1 As 2.23
S  0.8263  0.2981  0.8092  1 As 2.21

Values from the calculation:
E_form (uncorrected), eV per formula unit: -10.42
V, A^3/atom: 27.505

Entry 4:
This record from Alexandria describes a relaxed structure of BaNaScAs. The functional is GGA-PBE.

Cell: 4.4185 4.4185 13.8268 Å, 90.00 90.00 90.00°
Last column: nearest neighbours and their distance in Å.
Sites, in units of the cell vectors:
Ba  0.2500  0.2500  0.2330  4 As 3.47
Ba  0.7500  0.7500  0.7670  4 As 3.47
Na  0.2500  0.7500  0.5000  4 Na 3.12
Na  0.7500  0.2500  0.5000  4 Na 3.12
Sc  0.2500  0.7500  0.0000  4 As 2.80, 4 Sc 3.12
Sc  0.7500  0.2500  0.0000  4 As 2.80, 4 Sc 3.12
As  0.2500  0.2500  0.8760  4 Sc 2.80
As  0.7500  0.7500  0.1240  4 Sc 2.80

Values from the calculation:
Energy relative to the elements, kJ/mol of formula units: -256
V, A^3/atom: 33.743

Entry 5:
This record from Alexandria describes a relaxed structure of BaNaAsSe2. The functional is GGA-PBE.

Cell: 5.3516 5.3516 5.0549 Å, 90.00 90.00 90.00°
Last column: nearest neighbours and their distance in Å.
Sites, in units of the cell vectors:
Ba  0.0000  0.0000  0.0000  8 Se 3.68, 4 As 3.78
Na  0.5000  0.5000  0.5000  2 As 2.53, 4 Se 2.68
As  0.5000  0.5000  0.0000  2 Na 2.53
Se  0.0000  0.5000  0.5000  2 Na 2.68
Se  0.5000  0.0000  0.5000  2 Na 2.68

Values from the calculation:
Distance to the lowest polymorph of the same formula, meV per atom: 0.0
E_form (uncorrected), eV per formula unit: -1.87
V, A^3/atom: 28.954

Entry 6:
This record from Alexandria describes a relaxed structure of BaNaAsSe2. The functional is GGA-PBE.

Cell: 6.1849 6.1849 6.2749 Å, 90.00 90.00 90.00°
Last column: nearest neighbours and their distance in Å.
Sites, in units of the cell vectors:
Ba  0.0000  0.0000  0.0000  4 Se 3.09, 2 As 3.14
Na  0.5000  0.5000  0.5000  4 As 4.37, 8 Se 4.41
As  0.0000  0.0000  0.5000  2 Ba 3.14
Se  0.0000  0.5000  0.0000  2 Ba 3.09
Se  0.5000  0.0000  0.0000  2 Ba 3.09

Values from the calculation:
Distance to the lowest polymorph of the same formula, meV per atom: 411.1
E_form (uncorrected), eV per formula unit: 0.19
V, A^3/atom: 48.007

Entry 7:
This record from Alexandria describes a relaxed structure of Ba2NaSn6As6. The functional is GGA-PBE.

Cell: 7.3155 7.3155 9.7426 Å, 97.19 97.19 119.99°
Last column: nearest neighbours and their distance in Å.
Sites, in units of the cell vectors:
Ba  0.1664  0.8336  0.0000  6 As 3.28-3.29
Ba  0.8336  0.1664  0.0000  6 As 3.28-3.29
Na  0.5000  0.5000  0.0000  6 As 3.22
Sn  0.0372  0.3755  0.6262  3 As 2.78-2.81
Sn  0.2866  0.2866  0.3751  3 As 2.79-2.82
Sn  0.3755  0.0372  0.6262  3 As 2.78-2.81
Sn  0.6245  0.9628  0.3738  3 As 2.78-2.81
Sn  0.7134  0.7134  0.6249  3 As 2.79-2.82
Sn  0.9628  0.6245  0.3738  3 As 2.78-2.81
As  0.0984  0.0984  0.7703  3 Sn 2.78-2.82
As  0.2513  0.5765  0.2298  3 Sn 2.78-2.81
As  0.4235  0.7487  0.7702  3 Sn 2.78-2.81
As  0.5765  0.2513  0.2298  3 Sn 2.78-2.81
As  0.7487  0.4235  0.7702  3 Sn 2.78-2.81
As  0.9016  0.9016  0.2297  3 Sn 2.78-2.82

Values from the calculation:
Energy relative to the elements, kJ/mol of formula units: -671
V, A^3/atom: 29.146

Entry 8:
This record from Alexandria describes a relaxed structure of Ba2NaSn2As4. The functional is GGA-PBE.

Cell: 8.4454 8.4454 6.9096 Å, 105.89 105.89 34.47°
Last column: nearest neighbours and their distance in Å.
Sites, in units of the cell vectors:
Ba  0.1337  0.1337  0.0840  7 As 3.33-3.57, 1 Sn 3.73
Ba  0.8663  0.8663  0.9160  7 As 3.33-3.57, 1 Sn 3.73
Na  0.0000  0.0000  0.5000  6 As 3.28-3.30, 4 Sn 3.53
Sn  0.3440  0.3440  0.4889  4 As 2.81-2.85
Sn  0.6560  0.6560  0.5111  4 As 2.81-2.85
As  0.2110  0.2110  0.6862  3 Sn 2.81-2.85
As  0.4994  0.4994  0.8113  1 As 2.60, 1 Sn 2.84
As  0.5006  0.5006  0.1887  1 As 2.60, 1 Sn 2.84
As  0.7890  0.7890  0.3138  3 Sn 2.81-2.85

Values from the calculation:
Energy relative to the elements, kJ/mol of formula units: -531
V, A^3/atom: 29.690

no.,raw total energy (eV/atom)
1,-4.068
2,-4.207
3,-4.514
4,-4.219
5,-3.346
6,-2.935
7,-4.269
8,-4.142